# Dy3Co7Ni2 PBE relaxed
# ΔE_f in eV/atom: -0.22
# Size of the total moment in μB per formula unit: 8.41
data_Dy3Co7Ni2
_symmetry_space_group_name_H-M 'P 1'
_symmetry_Int_Tables_number 1
_symmetry_space_group_name_Hall 'P 1'
_cell_length_a 8.706
_cell_length_b 8.706
_cell_length_c 8.706
_cell_angle_alpha 32.94
_cell_angle_beta 32.94
_cell_angle_gamma 32.94
loop_
_atom_site_label
_atom_site_type_symbol
_atom_site_fract_x
_atom_site_fract_y
_atom_site_fract_z
Dy1 Dy 0.000 0.000 0.000
Dy2 Dy 0.139 0.139 0.139
Dy3 Dy 0.861 0.861 0.861
Co1 Co 0.081 0.582 0.582
Co2 Co 0.418 0.418 0.919
Co3 Co 0.418 0.919 0.418
Co4 Co 0.500 0.500 0.500
Co5 Co 0.582 0.081 0.582
Co6 Co 0.582 0.582 0.081
Co7 Co 0.919 0.418 0.418
Ni1 Ni 0.334 0.334 0.334
Ni2 Ni 0.666 0.666 0.666